No. 1
# Dy8CuTe4As3

A relaxed Dy8CuTe4As3 crystal (PBE-GGA, Alexandria via LeMat-Bulk).

Lattice parameters (Å, degrees): 8.4037 8.4037 21.0937 90.00 90.00 120.00
Space group R-3m (No. 166, hexagonal axes)
Unique sites:
Dy1 0.0000 0.0000 0.2393 x6
Dy2 0.0050 0.5025 0.2399 x18
Cu1 0.0000 0.0000 0.5000 x3
Te1 0.0000 0.0000 0.0000 x3
Te2 0.0000 0.5000 0.0000 x9
As1 0.0000 0.5000 0.5000 x9

Summary:
Spin magnetization ... 0.001 μB per formula unit
N(E_F) ... 0.612 states/eV/atom
Formation energy without anion corrections ... -1285.6 meV/atom


No. 2
# Na2ZrV2

A relaxed Na2ZrV2 crystal (PBE-GGA, Alexandria via LeMat-Bulk).

Lattice parameters (Å, degrees): 8.6572 8.6572 2.9020 90.00 90.00 90.00
Space group P4/mbm (No. 127)
Unique sites:
Na1 0.1096 0.3904 0.0000 x4
Zr1 0.0000 0.0000 0.0000 x2
V1 0.1944 0.6944 0.5000 x4

Summary:
Spin magnetization ... 6.522 μB per formula unit
Formation energy ... 1.1312 eV/atom
N(E_F) ... 1.308 states/eV/atom
Energy above the most stable polymorph in this dataset ... 290.7 meV per atom